# 1
K2CaSiB | PBE | relaxed

Results
Its formation energy from raw total energies is 0.98 eV per atom. Its space group is P4/mmm. For the total energy, the calculation gives -11.4 eV per cell.

Cell: 5.693 5.310 5.693 Å, 90.00 90.00 90.00°
Fractional positions:
B: 0.000 0.000 0.000
Ca: 0.000 0.500 0.000
Si: 0.500 0.500 0.500
K: 0.000 0.000 0.500
K: 0.500 0.000 0.000

***

# 2
K2Li3UH12 | PBE | relaxed

Results
Its space group is R-3m. For the total energy, the calculation gives -61.0 eV per cell.

Cell: 6.387 6.387 6.387 Å, 64.70 64.70 64.70°
Fractional positions:
H: 0.125 0.125 0.621
H: 0.115 0.777 0.777
H: 0.875 0.875 0.379
H: 0.621 0.125 0.125
H: 0.777 0.115 0.777
H: 0.223 0.885 0.223
H: 0.223 0.223 0.885
H: 0.125 0.621 0.125
H: 0.885 0.223 0.223
H: 0.875 0.379 0.875
H: 0.379 0.875 0.875
H: 0.777 0.777 0.115
U: 0.000 0.000 0.000
K: 0.609 0.609 0.609
K: 0.391 0.391 0.391
Li: 0.000 0.500 0.000
Li: 0.500 0.000 0.000
Li: 0.000 0.000 0.500

***

# 3
DyZrAgOs | PBE | relaxed

Results
Its space group is F-43m. For the total energy, the calculation gives -28.1 eV per cell.

Cell: 4.846 4.846 4.846 Å, 60.00 60.00 60.00°
Fractional positions:
Os: 0.750 0.750 0.750
Ag: 0.250 0.250 0.250
Zr: 0.500 0.500 0.500
Dy: 0.000 0.000 0.000